Material: HoLuSiGeOs
Method: DFT, GGA-PBE
State: relaxed

energy: -6.870 eV per atom
magnetic moment: 0.105 μB/cell
crystal system: monoclinic
energy above the lowest structure with this stoichiometry: 0.12 eV/f.u.

Lattice parameters (Å, degrees): 5.6988 5.6988 9.9997 116.29 116.29 43.27
Fractional positions:
Ge (0.4846, 0.4846, 0.1231)
Ge (0.5154, 0.5154, 0.8769)
Ho (0.9922, 0.9922, 0.3247)
Ho (0.0078, 0.0078, 0.6753)
Lu (0.1838, 0.1838, 0.1169)
Lu (0.8162, 0.8162, 0.8831)
Os (0.7328, 0.7328, 0.3735)
Os (0.2672, 0.2672, 0.6265)
Si (0.3570, 0.3570, 0.4398)
Si (0.6430, 0.6430, 0.5602)

=====

Material: PmSiAsO
Method: DFT, GGA-PBE
State: relaxed

energy: -5.791 eV per atom
magnetic moment: 0.001 μB/cell
crystal system: tetragonal
energy above the lowest structure with this stoichiometry: 2.48 eV/f.u.

Lattice parameters (Å, degrees): 5.9363 5.9363 4.7233 90.00 90.00 90.00
Fractional positions:
As (0.7500, 0.7500, 0.4975)
As (0.2500, 0.2500, 0.5025)
O (0.7500, 0.2500, 0.0000)
O (0.2500, 0.7500, 0.0000)
Pm (0.7500, 0.2500, 0.5000)
Pm (0.2500, 0.7500, 0.5000)
Si (0.2500, 0.2500, 0.0025)
Si (0.7500, 0.7500, 0.9975)

=====

Material: RbFeCoAs2
Method: DFT, GGA-PBE
State: relaxed

energy: -5.499 eV per atom
magnetic moment: 0.001 μB/cell
crystal system: tetragonal

Lattice parameters (Å, degrees): 7.7624 7.7624 7.7624 151.74 151.74 40.39
Fractional positions:
As (0.3403, 0.3403, 0.0000)
As (0.6597, 0.6597, 0.0000)
Co (0.2500, 0.7500, 0.5000)
Fe (0.7500, 0.2500, 0.5000)
Rb (0.0000, 0.0000, 0.0000)

=====

Material: HfMoC2
Method: DFT, GGA-PBE
State: relaxed

energy: -10.161 eV per atom
magnetic moment: 0.004 μB/cell
crystal system: tetragonal

Lattice parameters (Å, degrees): 3.1882 3.1882 4.4842 90.00 90.00 90.00
Fractional positions:
C (0.5000, 0.5000, 0.0000)
C (0.0000, 0.0000, 0.5000)
Hf (0.0000, 0.0000, 0.0000)
Mo (0.5000, 0.5000, 0.5000)

=====

Material: YTm4Ag5
Method: DFT, GGA-PBE
State: relaxed

energy: -4.197 eV per atom
magnetic moment: 0.002 μB/cell
crystal system: tetragonal

Lattice parameters (Å, degrees): 3.5794 3.5794 17.9800 90.00 90.00 90.00
Fractional positions:
Ag (0.5000, 0.5000, 0.1042)
Ag (0.5000, 0.5000, 0.3012)
Ag (0.5000, 0.5000, 0.5000)
Ag (0.5000, 0.5000, 0.6988)
Ag (0.5000, 0.5000, 0.8958)
Tm (0.0000, 0.0000, 0.2021)
Tm (0.0000, 0.0000, 0.4007)
Tm (0.0000, 0.0000, 0.5993)
Tm (0.0000, 0.0000, 0.7979)
Y (0.0000, 0.0000, 0.0000)

=====

Material: Tm2MgCu2
Method: DFT, GGA-PBE
State: relaxed

energy: -3.842 eV per atom
magnetic moment: 0.010 μB/cell
crystal system: tetragonal

Lattice parameters (Å, degrees): 7.5090 7.5090 3.6615 90.00 90.00 90.00
Fractional positions:
Cu (0.3753, 0.1247, 0.0000)
Cu (0.8753, 0.3753, 0.0000)
Cu (0.1247, 0.6247, 0.0000)
Cu (0.6247, 0.8753, 0.0000)
Mg (0.0000, 0.0000, 0.0000)
Mg (0.5000, 0.5000, 0.0000)
Tm (0.6684, 0.1684, 0.5000)
Tm (0.1684, 0.3316, 0.5000)
Tm (0.8316, 0.6684, 0.5000)
Tm (0.3316, 0.8316, 0.5000)